1.
## Zr2PIr (GGA-PBEsol)

Data for a relaxed Zr2PIr crystal.

Summary:
The calculation puts the formation enthalpy at 0 K at -1.08 eV per atom. Its total energy is -9.530 eV/atom. Its space group is No. 38. The density of states at the Fermi level is 3.18 states/eV/cell.

a = 3.617 Å, b = 3.877 Å, c = 5.301 Å
α = 90.00°, β = 109.94°, γ = 90.00°
Fractional positions:
P  0.708  0.500  0.416
Ir  0.546  0.000  0.091
Zr  0.978  0.500  0.955
Zr  0.269  0.000  0.537

***

2.
## ZrPIr2 (GGA-PBEsol)

Data for a relaxed ZrPIr2 crystal.

Summary:
The calculation puts the formation enthalpy at 0 K at -0.32 eV per atom. Its total energy is -8.952 eV/atom. Its space group is No. 122. The density of states at the Fermi level is 5.02 states/eV/cell.

a = 3.977 Å, b = 3.977 Å, c = 8.873 Å
α = 102.95°, β = 102.95°, γ = 90.00°
Fractional positions:
P  0.750  0.250  0.500
P  0.500  0.500  0.000
Ir  0.412  0.875  0.250
Ir  0.838  0.375  0.250
Ir  0.125  0.162  0.750
Ir  0.625  0.588  0.750
Zr  0.250  0.750  0.500
Zr  0.000  0.000  0.000

***

Computed magnetization (μB/cell) in order:
0.00, 0.00